1.
The following is a PBEsol calculation of Y2Co17 after structural relaxation, from Alexandria via LeMat-Bulk.

For the calculated total energy, the calculation gives -293.67 eV for the cell shown. As for the magnetic moment: 49.5 Bohr magnetons per cell. The value obtained for the formation energy is -0.09 eV per atom.

It has space group P6_3/mmc (No. 194), with a = 8.1572 Å, b = 8.1572 Å, c = 7.9370 Å, α = 90.00°, β = 90.00° and γ = 120.00°. The inequivalent atoms are Y at (0.0000, 0.0000, 0.2500), Y at (0.3333, 0.6667, 0.2500), Co at (0.0000, 0.5000, 0.0000), Co at (0.0471, 0.3754, 0.7500), Co at (0.1669, 0.3338, 0.0223) and Co at (0.3333, 0.6667, 0.6065).

***

2.
The following is a PBEsol calculation of Dy3Ga8Ir3 after structural relaxation, from Alexandria via LeMat-Bulk.

For the calculated total energy, the calculation gives -161.87 eV for the cell shown. As for the magnetic moment: 0.0 Bohr magnetons per cell. The value obtained for the formation energy is -0.70 eV per atom.

It has space group Immm (No. 71), with a = 4.1427 Å, b = 9.6672 Å, c = 12.2067 Å, α = 90.00°, β = 90.00° and γ = 90.00°. The inequivalent atoms are Dy at (0.0000, 0.0000, 0.0000), Dy at (0.0000, 0.0000, 0.3294), Ga at (0.0000, 0.2838, 0.1241), Ga at (0.0000, 0.3707, 0.3299), Ir at (0.0000, 0.2200, 0.5000) and Ir at (0.0000, 0.5000, 0.0000).

***

3.
The following is a PBEsol calculation of Li3CrCu4O8 after structural relaxation, from Alexandria via LeMat-Bulk.

For the calculated total energy, the calculation gives -190.36 eV for the cell shown. As for the magnetic moment: 2.7 Bohr magnetons per cell.

It has space group C2/m (No. 12), with a = 10.5587 Å, b = 5.6354 Å, c = 5.4787 Å, α = 90.00°, β = 116.89° and γ = 90.00°. The inequivalent atoms are Li at (0.0000, 0.0000, 0.0000), Li at (0.2500, 0.2500, 0.5000), Cr at (0.0000, 0.5000, 0.5000), Cu at (0.0000, 0.0000, 0.5000), Cu at (0.0000, 0.5000, 0.0000), Cu at (0.2500, 0.2500, 0.0000), O at (0.0322, 0.2682, 0.2760), O at (0.2013, 0.0000, 0.7421) and O at (0.2010, 0.5000, 0.7347).